Record 1
First-principles (PBE) data for a relaxed Ac4Nd3UN8 crystal, as listed in Alexandria.

Geometry as extended XYZ:
```
16
Lattice="3.702 2.138 6.192 -3.702 2.138 6.192 0.000 -4.275 6.192" Properties=species:S:1:pos:R:3 pbc="T T T"
Ac 0.000 0.000 0.000
Ac -1.851 -1.069 6.192
Ac -1.851 1.069 12.385
Ac 0.000 2.138 6.192
Nd -3.702 0.000 9.289
Nd -1.851 1.069 3.096
Nd 1.851 1.069 3.096
U 0.000 0.000 9.289
N 0.000 0.000 4.544
N -1.655 -0.955 10.580
N 0.000 -1.911 7.997
N -1.655 0.955 7.997
N 1.655 -0.955 10.580
N 0.000 1.911 10.580
N 1.655 0.955 7.997
N 0.000 0.000 14.033
```

Properties
**Space group**: R-3m (166)
**Final energy**: -8.004 eV/atom
**Formation energy without anion corrections**: -1.2147 eV per atom
**Size of the total moment**: 0.000 μB per formula unit


Record 2
First-principles (PBE) data for a relaxed Cs2KRb3Cl6 crystal, as listed in Alexandria.

Geometry as extended XYZ:
```
12
Lattice="10.440 -2.397 0.000 10.440 2.397 0.000 -2.215 0.000 9.343" Properties=species:S:1:pos:R:3 pbc="T T T"
Cs 2.720 0.000 3.092
Cs 15.945 0.000 6.251
K 10.440 0.000 0.000
Rb 1.628 0.000 7.817
Rb 9.332 0.000 4.672
Rb 17.037 0.000 1.526
Cl -1.614 0.000 7.110
Cl 6.135 0.000 3.803
Cl 4.993 0.000 8.676
Cl 13.671 0.000 0.667
Cl 12.529 0.000 5.540
Cl 20.278 0.000 2.233
```

Properties
**Space group**: C2/m (12)
**Final energy**: -3.342 eV/atom
**Formation energy without anion corrections**: -1.9428 eV per atom
**Size of the total moment**: 0.314 μB per formula unit


Record 3
First-principles (PBE) data for a relaxed AgPCl crystal, as listed in Alexandria.

Geometry as extended XYZ:
```
3
Lattice="0.000 2.956 6.693 1.706 0.000 6.693 1.706 2.956 0.000" Properties=species:S:1:pos:R:3 pbc="T T T"
Ag 0.000 0.000 0.000
P 1.706 2.956 8.456
Cl 1.706 2.956 4.898
```

Properties
**Space group**: Fmm2 (42)
**Energy above the lowest structure with this stoichiometry**: 101 kJ/mol of formula units
**Final energy**: -3.028 eV/atom
**Formation energy without anion corrections**: 0.3408 eV per atom
**Size of the total moment**: 0.120 μB per formula unit


Record 4
First-principles (PBE) data for a relaxed CsAg3Br8 crystal, as listed in Alexandria.

Geometry as extended XYZ:
```
12
Lattice="6.949 0.000 0.000 -3.474 6.018 0.000 0.000 0.000 9.164" Properties=species:S:1:pos:R:3 pbc="T T T"
Cs 0.000 0.000 0.000
Ag 0.000 0.000 4.582
Ag 0.000 4.012 6.745
Ag 3.474 2.006 2.419
Br -0.902 1.965 3.014
Br -1.322 5.817 3.014
Br 1.250 1.764 6.150
Br 0.000 4.012 0.205
Br 3.474 2.006 8.959
Br 2.224 4.254 3.014
Br 4.796 0.201 6.150
Br 4.377 4.053 6.150
```

Properties
**Space group**: P-3 (147)
**Final energy**: -2.265 eV/atom
**Formation energy without anion corrections**: -0.3655 eV per atom
**Size of the total moment**: 0.000 μB per formula unit


Record 5
First-principles (PBE) data for a relaxed YTaBeTl2 crystal, as listed in Alexandria.

Geometry as extended XYZ:
```
5
Lattice="5.570 0.000 0.000 0.000 5.570 0.000 0.000 0.000 4.676" Properties=species:S:1:pos:R:3 pbc="T T T"
Y 0.000 0.000 0.000
Ta 2.785 2.785 2.338
Be 0.000 0.000 2.338
Tl 0.000 2.785 0.000
Tl 2.785 0.000 0.000
```

Properties
**Space group**: P4/mmm (123)
**Final energy**: -3.439 eV/atom
**Size of the total moment**: 0.487 μB per formula unit


Record 6
First-principles (PBE) data for a relaxed LaSc3P crystal, as listed in Alexandria.

Geometry as extended XYZ:
```
5
Lattice="5.070 0.000 0.000 0.000 5.070 0.000 0.000 0.000 5.070" Properties=species:S:1:pos:R:3 pbc="T T T"
La 0.000 0.000 0.000
Sc 0.000 2.535 2.535
Sc 2.535 0.000 2.535
Sc 2.535 2.535 0.000
P 2.535 2.535 2.535
```

Properties
**Space group**: Pm-3m (221)
**Energy above the lowest structure with this stoichiometry**: 0 kJ/mol of formula units
**Final energy**: -6.276 eV/atom
**Size of the total moment**: 0.001 μB per formula unit


Record 7
First-principles (PBE) data for a relaxed PrURu crystal, as listed in Alexandria.

Geometry as extended XYZ:
```
3
Lattice="-1.761 1.761 5.706 1.761 -1.761 5.706 1.761 1.761 -5.706" Properties=species:S:1:pos:R:3 pbc="T T T"
Pr 0.000 0.000 0.000
U 0.000 0.000 8.015
Ru 0.000 0.000 3.289
```

Properties
**Space group**: I4mm (107)
**Final energy**: -8.497 eV/atom
**Size of the total moment**: 0.307 μB per formula unit


Record 8
First-principles (PBE) data for a relaxed RuPb3Br crystal, as listed in Alexandria.

Geometry as extended XYZ:
```
5
Lattice="5.332 0.000 0.000 0.000 5.332 0.000 0.000 0.000 5.332" Properties=species:S:1:pos:R:3 pbc="T T T"
Ru 0.000 0.000 0.000
Pb 0.000 0.000 2.666
Pb 0.000 2.666 0.000
Pb 2.666 0.000 0.000
Br 2.666 2.666 2.666
```

Properties
**Space group**: Pm-3m (221)
**Energy above the lowest structure with this stoichiometry**: 0 kJ/mol of formula units
**Final energy**: -4.449 eV/atom
**Formation energy without anion corrections**: -0.0344 eV per atom
**Size of the total moment**: 0.000 μB per formula unit